Crystalline TbPmYTm at its relaxed geometry. Source: the Alexandria database, functional PBE.

Excess energy over the best structure of this formula in the dataset (meV per atom): 0
Formation energy (eV/atom): 0.0216

Unit cell a=5.0561 b=5.0509 c=6.1695 alpha=114.16 beta=114.19 gamma=90.00
Fractional coordinates of all 4 atoms:
Tb  0.8696  0.3696  0.7393
Y  0.3699  0.8699  0.7397
Pm  0.1199  0.1199  0.2397
Tm  0.6198  0.6198  0.2396

Crystalline Tb6PmY2Tm at its relaxed geometry. Source: the Alexandria database, functional PBE.

Formation energy (eV/atom): 0.1227

Unit cell a=9.4758 b=8.8162 c=8.8162 alpha=117.26 beta=93.21 gamma=93.21
Fractional coordinates of all 20 atoms:
Y  0.5479  0.2024  0.3041
Y  0.4521  0.7976  0.6959
Y  0.9521  0.6959  0.7976
Y  0.0479  0.3041  0.2024
Tb  0.3149  0.9871  0.4367
Tb  0.6851  0.0129  0.5633
Tb  0.3832  0.5142  0.2914
Tb  0.0571  0.1222  0.7554
Tb  0.4429  0.2446  0.8778
Tb  0.1168  0.7086  0.4858
Tb  0.5571  0.7554  0.1222
Tb  0.8832  0.2914  0.5142
Tb  0.9429  0.8778  0.2446
Tb  0.8149  0.4367  0.9871
Tb  0.6168  0.4858  0.7086
Tb  0.1851  0.5633  0.0129
Tm  0.7500  0.5895  0.4105
Tm  0.2500  0.4105  0.5895
Pm  0.7500  0.0284  0.9716
Pm  0.2500  0.9716  0.0284

Crystalline Tb2PmY5Tm at its relaxed geometry. Source: the Alexandria database, functional PBE.

Formation energy (eV/atom): 0.2773

Unit cell a=8.8944 b=8.8944 c=9.7502 alpha=117.14 beta=117.14 gamma=90.00
Fractional coordinates of all 18 atoms:
Y  0.9280  0.4280  0.2676
Y  0.3396  0.8396  0.2676
Y  0.8396  0.9280  0.2676
Y  0.5000  0.5000  0.0000
Y  0.0720  0.5720  0.7324
Y  0.5720  0.6604  0.7324
Y  0.1604  0.0720  0.7324
Y  0.4280  0.3396  0.2676
Y  0.0000  0.0000  0.0000
Y  0.6604  0.1604  0.7324
Tb  0.1134  0.3866  0.0000
Tb  0.6134  0.1134  0.0000
Tb  0.8866  0.6134  0.0000
Tb  0.3866  0.8866  0.0000
Tm  0.2500  0.7500  0.5000
Tm  0.7500  0.2500  0.5000
Pm  0.7500  0.7500  0.5000
Pm  0.2500  0.2500  0.5000

Crystalline Tb2Pm4YTm2 at its relaxed geometry. Source: the Alexandria database, functional PBE.

Formation energy (eV/atom): 0.0210

Unit cell a=5.0695 b=8.0298 c=8.0144 alpha=107.49 beta=90.00 gamma=108.40
Fractional coordinates of all 9 atoms:
Pm  0.7772  0.5544  0.6684
Pm  0.4455  0.8909  0.6682
Pm  0.5545  0.1091  0.3318
Pm  0.2228  0.4456  0.3316
Y  0.0000  0.0000  0.0000
Tb  0.1116  0.2233  0.6687
Tb  0.8884  0.7767  0.3313
Tm  0.6677  0.3355  0.9998
Tm  0.3323  0.6645  0.0002

Crystalline TbPmYTm3 at its relaxed geometry. Source: the Alexandria database, functional PBE.

Formation energy (eV/atom): 0.0246

Unit cell a=5.0080 b=7.9205 c=10.0186 alpha=90.00 beta=90.00 gamma=108.43
Fractional coordinates of all 12 atoms:
Pm  0.4989  0.9978  0.2500
Pm  0.5011  0.0022  0.7500
Y  0.8320  0.6639  0.7500
Y  0.1680  0.3361  0.2500
Tm  0.8327  0.6654  0.2500
Tm  0.3325  0.6650  0.5000
Tm  0.6675  0.3350  0.0000
Tm  0.1673  0.3346  0.7500
Tm  0.6675  0.3350  0.5000
Tm  0.3325  0.6650  0.0000
Tb  0.0000  0.0000  0.0000
Tb  0.0000  0.0000  0.5000

Crystalline Tb3PmYTm at its relaxed geometry. Source: the Alexandria database, functional PBE.

Formation energy (eV/atom): 0.1905

Unit cell a=5.4775 b=11.3665 c=6.7136 alpha=82.33 beta=90.00 gamma=103.94
Fractional coordinates of all 12 atoms:
Tb  0.5259  0.0518  0.7277
Tb  0.4741  0.9482  0.2723
Tb  0.7741  0.5482  0.8112
Tb  0.2259  0.4518  0.1888
Tb  0.8325  0.6650  0.2774
Tb  0.1675  0.3350  0.7226
Tm  0.6676  0.3352  0.4688
Tm  0.3324  0.6648  0.5312
Pm  0.6325  0.2649  0.0264
Pm  0.3675  0.7351  0.9736
Y  0.9290  0.8579  0.6734
Y  0.0710  0.1421  0.3266

Number 1: total moment 0.0 μB per formula unit. Number 2: total moment 0.0 μB per formula unit. Number 3: total moment 0.0 μB per formula unit. Number 4: total moment 0.0 μB per formula unit. Number 5: total moment 0.0 μB per formula unit. Number 6: total moment 0.0 μB per formula unit.